Record 1
ErTm3Mg4 (PBE, relaxed); symmetry = Immm, No. 71; distance to the lowest polymorph of the same formula = 155 meV per atom; size of the total moment = 0.00 μB per formula unit; formation energy = 92 meV per atom
1.0
-1.625 3.162 10.822
1.625 -3.162 10.822
1.625 3.162 -10.822
Er Tm Mg
1 3 4
direct
0.000 0.000 0.000 Er
0.237 0.737 0.500 Tm
0.500 0.500 0.000 Tm
0.763 0.263 0.500 Tm
0.133 0.874 0.259 Mg
0.385 0.126 0.259 Mg
0.615 0.874 0.741 Mg
0.867 0.126 0.741 Mg

***

Record 2
Pm2Nd3Tm (PBE, relaxed); symmetry = Cmcm, No. 63; distance to the lowest polymorph of the same formula = 0 meV per atom; size of the total moment = 0.00 μB per formula unit; formation energy = 135 meV per atom
1.0
8.884 -3.283 0.000
8.884 3.283 0.000
0.000 0.000 7.163
Pm Nd Tm
4 6 2
direct
0.145 0.145 0.000 Pm
0.145 0.145 0.500 Pm
0.855 0.855 0.000 Pm
0.855 0.855 0.500 Pm
0.283 0.717 0.750 Nd
0.304 0.337 0.250 Nd
0.337 0.304 0.750 Nd
0.663 0.696 0.250 Nd
0.696 0.663 0.750 Nd
0.717 0.283 0.250 Nd
0.220 0.780 0.250 Tm
0.780 0.220 0.750 Tm

***

Record 3
Na4SO5 (PBE, relaxed); formation energy from raw total energies = -1.4306 eV/atom; symmetry = I4, No. 79; size of the total moment = 0.00 μB per formula unit
1.0
-3.546 3.546 2.441
3.546 -3.546 2.441
3.546 3.546 -2.441
Na S O
4 1 5
direct
0.107 0.290 0.397 Na
0.290 0.893 0.183 Na
0.710 0.107 0.817 Na
0.893 0.710 0.603 Na
0.543 0.543 0.000 S
0.254 0.539 0.842 O
0.411 0.254 0.715 O
0.539 0.697 0.285 O
0.697 0.411 0.158 O
0.860 0.860 0.000 O

***

Record 4
TiBiHRh2 (PBE, relaxed); symmetry = P4/mmm, No. 123; size of the total moment = 0.00 μB per formula unit; electronic total energy = -31.05 eV per formula unit
1.0
4.085 0.000 0.000
0.000 4.085 0.000
0.000 0.000 4.201
Ti Bi H Rh
1 1 1 2
direct
0.000 0.000 0.000 Ti
0.500 0.500 0.000 Bi
0.000 0.000 0.500 H
0.000 0.500 0.500 Rh
0.500 0.000 0.500 Rh

***

Record 5
TbDyGaAg (PBE, relaxed); symmetry = F-43m, No. 216; size of the total moment = 0.00 μB per formula unit; formation energy = -457 meV per atom
1.0
0.000 3.623 3.623
3.623 0.000 3.623
3.623 3.623 0.000
Tb Dy Ga Ag
1 1 1 1
direct
0.000 0.000 0.000 Tb
0.500 0.500 0.500 Dy
0.750 0.750 0.750 Ga
0.250 0.250 0.250 Ag

***

Record 6
LiYZrRh (PBE, relaxed); symmetry = F-43m, No. 216; size of the total moment = 0.00 μB per formula unit; formation energy = -349 meV per atom
1.0
0.000 3.401 3.401
3.401 0.000 3.401
3.401 3.401 0.000
Li Y Zr Rh
1 1 1 1
direct
0.000 0.000 0.000 Li
0.250 0.250 0.250 Y
0.750 0.750 0.750 Zr
0.500 0.500 0.500 Rh

***

Record 7
AlBr2Cl (PBE, relaxed); formation energy from raw total energies = -0.6580 eV/atom; symmetry = C2/m, No. 12; distance to the lowest polymorph of the same formula = 536 meV per atom; size of the total moment = 0.00 μB per formula unit
1.0
6.839 -1.692 0.000
6.839 1.692 0.000
-2.151 0.000 4.997
Al Br Cl
1 2 1
direct
0.000 0.000 0.000 Al
0.357 0.357 0.858 Br
0.643 0.643 0.142 Br
0.500 0.500 0.500 Cl

***

Record 8
Na4In3BiO8 (PBE, relaxed); formation energy from raw total energies = -1.5415 eV/atom; symmetry = R-3m, No. 166; size of the total moment = 0.00 μB per formula unit
1.0
3.357 1.938 5.581
-3.357 1.938 5.581
0.000 -3.877 5.581
Na In Bi O
4 3 1 8
direct
0.000 0.000 0.000 Na
0.000 0.500 0.500 Na
0.500 0.000 0.500 Na
0.500 0.500 0.000 Na
0.000 0.000 0.500 In
0.000 0.500 0.000 In
0.500 0.000 0.000 In
0.500 0.500 0.500 Bi
0.223 0.748 0.748 O
0.238 0.238 0.238 O
0.252 0.252 0.777 O
0.252 0.777 0.252 O
0.748 0.223 0.748 O
0.748 0.748 0.223 O
0.762 0.762 0.762 O
0.777 0.252 0.252 O

***

Record 9
Be2TlRu (PBE, relaxed); symmetry = Immm, No. 71; distance to the lowest polymorph of the same formula = 314 meV per atom; size of the total moment = 0.00 μB per formula unit; formation energy = 409 meV per atom
1.0
-1.618 2.155 4.015
1.618 -2.155 4.015
1.618 2.155 -4.015
Be Tl Ru
2 1 1
direct
0.228 0.228 0.000 Be
0.772 0.772 0.000 Be
0.500 0.000 0.500 Tl
0.000 0.500 0.500 Ru

***

Record 10
BaNaBrO (PBE, relaxed); formation energy from raw total energies = -1.7595 eV/atom; symmetry = R-3m, No. 166; size of the total moment = 0.08 μB per formula unit
1.0
2.134 1.232 13.803
-2.134 1.232 13.803
0.000 -2.464 13.803
Ba Na Br O
2 2 2 2
direct
0.074 0.074 0.074 Ba
0.926 0.926 0.926 Ba
0.315 0.315 0.315 Na
0.685 0.685 0.685 Na
0.212 0.212 0.212 Br
0.788 0.788 0.788 Br
0.372 0.372 0.372 O
0.628 0.628 0.628 O

***

Record 11
LiAg2IO6 (PBE, relaxed); formation energy from raw total energies = -0.4365 eV/atom; symmetry = P1, No. 1; size of the total moment = 0.00 μB per formula unit
1.0
5.397 0.000 0.000
-2.383 4.903 0.000
-2.564 -1.461 5.471
Li Ag I O
1 2 1 6
direct
0.000 0.000 0.000 Li
0.606 0.312 0.854 Ag
0.672 0.856 0.412 Ag
0.261 0.643 0.841 I
0.081 0.398 0.019 O
0.185 0.317 0.639 O
0.381 0.956 0.080 O
0.487 0.900 0.691 O
0.668 0.670 0.061 O
0.881 0.620 0.637 O